This record from the Alexandria database describes crystalline Rb3CdI6 at its relaxed geometry. The functional is PBE.

The space group is Cmc2_1 (No. 36) and the conventional cell measures 15.675, 20.235 and 6.912 Å, with angles of 90.00, 90.00 and 90.00 degrees. The inequivalent atoms are Rb at (0.000, 0.118, 0.000), Rb at (0.183, 0.381, 0.979), Cd at (0.000, 0.294, 0.394), I at (0.000, 0.287, 0.799), I at (0.000, 0.429, 0.292), I at (0.150, 0.228, 0.271) and I at (0.161, 0.002, 0.738).

Its formation energy (no corrections) is -1.0578 eV/atom.



This record from the Alexandria database describes crystalline U2NbSn at its relaxed geometry. The functional is PBE.

The space group is P4/mmm (No. 123) and the conventional cell measures 4.194, 4.194 and 4.802 Å, with angles of 90.00, 90.00 and 90.00 degrees. The inequivalent atoms are U at (0.000, 0.500, 0.000), Nb at (0.000, 0.000, 0.500) and Sn at (0.500, 0.500, 0.500).

The formation energy is 0.032 eV/atom.



This record from the Alexandria database describes crystalline NaFeAs2 at its relaxed geometry. The functional is PBE.

The space group is R-3m (No. 166, hexagonal axes) and the conventional cell measures 3.2858, 3.2858 and 23.5452 Å, with angles of 90.00, 90.00 and 120.00 degrees. The inequivalent atoms are Na at (0.0000, 0.0000, 0.0000), Fe at (0.0000, 0.0000, 0.5000) and As at (0.0000, 0.0000, 0.2314).

The formation energy is -0.167 eV/atom.



This record from the Alexandria database describes crystalline Ba2AlIn6Ag at its relaxed geometry. The functional is PBE.

The space group is R-3m (No. 166, hexagonal axes) and the conventional cell measures 7.3368, 7.3368 and 38.9577 Å, with angles of 90.00, 90.00 and 120.00 degrees. The inequivalent atoms are Ba at (0.0000, 0.0000, 0.1079), Ba at (0.0000, 0.0000, 0.2820), Al at (0.0000, 0.0000, 0.4272), In at (0.0527, 0.5264, 0.2998), In at (0.0580, 0.5290, 0.8666), Ag at (0.0000, 0.0000, 0.0000) and Ag at (0.0000, 0.0000, 0.5000).

The formation energy is -0.192 eV/atom.



| no. | density (Mg/m³) |
| --- | --- |
| 1 | 3.4 |
| 2 | 13.5 |
| 3 | 5.2 |
| 4 | 6.0 |